(1)
An optimized crystal structure of H3PbO. Source: the Alexandria database, functional PBE.

Results
Energy above the most stable polymorph in this dataset: 0.0 meV per atom
DFT total energy: -2.97 eV per atom
N(E_F): 1.5 states/eV/cell

Cell: 3.5805 3.5805 3.5805 Å, 90.00 90.00 90.00°
Fractional coordinates of all 5 atoms:
Pb (0.5000, 0.5000, 0.5000)
H (0.0000, 0.5000, 0.0000)
H (0.0000, 0.0000, 0.5000)
H (0.5000, 0.0000, 0.0000)
O (0.0000, 0.0000, 0.0000)

***

(2)
An optimized crystal structure of HPbO2. Source: the Alexandria database, functional PBE.

Results
Energy above the most stable polymorph in this dataset: 983.7 meV per atom
DFT total energy: -4.14 eV per atom
N(E_F): 0.9 states/eV/cell

Cell: 3.8987 3.8987 3.8987 Å, 60.00 60.00 60.00°
Fractional coordinates of all 4 atoms:
Pb (0.5000, 0.5000, 0.5000)
H (0.0000, 0.0000, 0.0000)
O (0.2500, 0.2500, 0.2500)
O (0.7500, 0.7500, 0.7500)